A geometry-optimized CaTm2PuP4 structure, computed with PBE.

```
CaTm2PuP4
1.0
6.892 0.000 0.000
0.000 4.004 0.000
-2.265 0.000 6.531
Ca Tm Pu P
1 2 1 4
direct
0.000 0.000 0.000
0.000 0.500 0.500
0.500 0.000 0.500
0.500 0.500 0.000
0.256 0.000 0.748
0.262 0.500 0.256
0.738 0.500 0.744
0.744 0.000 0.252
```

## Properties
Energy of formation from the pure elements, eV per atom: -1.311
Space-group type: P2/m (10)
V, Å³ per atom: 22.5
Size of the total moment, μB/f.u.: 4.1